# 1
Li2TeAu | meta-GGA SCAN | PBEsol geometry

Mass density ... 7.898 g/cm3
E ... -2.092 Ry/atom

a = 4.4396 Å, b = 4.4396 Å, c = 7.2206 Å
α = 90.00°, β = 90.00°, γ = 90.00°
With the nearest neighbours (Å) after each atom.
Space group I4/mmm (No. 139)
Asymmetric unit:
Li 0.0000 0.5000 0.2500 x4  4 Te 2.86, 4 Au 2.86, 4 Li 3.14
Te 0.0000 0.0000 0.0000 x2  8 Li 2.86, 4 Au 3.14
Au 0.0000 0.0000 0.5000 x2  8 Li 2.86, 4 Te 3.14

=====

# 2
Zr3BeAs | meta-GGA SCAN | PBEsol geometry

Mass density ... 5.013 g/cm3
Formation energy from the elements ... 0.290 eV/atom

a = 4.9113 Å, b = 4.9113 Å, c = 4.9113 Å
α = 90.00°, β = 90.00°, γ = 90.00°
With the nearest neighbours (Å) after each atom.
Space group Pm-3m (No. 221)
Asymmetric unit:
Zr 0.0000 0.0000 0.5000 x3  2 As 2.46
Be 0.5000 0.5000 0.5000 x1  12 Zr 3.47
As 0.0000 0.0000 0.0000 x1  6 Zr 2.46

=====

# 3
CaTeW2I | meta-GGA SCAN | PBEsol geometry

Mass density ... 8.250 g/cm3
E ... -3.136 Ry/atom

a = 4.8834 Å, b = 4.8834 Å, c = 5.5897 Å
α = 90.00°, β = 90.00°, γ = 90.00°
With the nearest neighbours (Å) after each atom.
Space group P4/mmm (No. 123)
Asymmetric unit:
Ca 0.0000 0.0000 0.0000 x1  2 I 2.79
Te 0.5000 0.5000 0.0000 x1  4 Ca 3.45, 8 W 3.71
W 0.0000 0.5000 0.5000 x2  2 I 2.44
I 0.0000 0.0000 0.5000 x1  4 W 2.44

=====

# 4
Li2MgRh | meta-GGA SCAN | PBEsol geometry

Mass density ... 3.795 g/cm3
Formation energy from the elements ... -0.231 eV/atom

a = 3.1781 Å, b = 3.1781 Å, c = 6.1131 Å
α = 90.00°, β = 90.00°, γ = 90.00°
With the nearest neighbours (Å) after each atom.
Space group P4mm (No. 99)
Asymmetric unit:
Li 0.0000 0.0000 0.0000 x1  4 Rh 2.57, 1 Mg 2.62, 4 Li 2.71
Li 0.5000 0.5000 0.2484 x1  4 Li 2.71, 1 Rh 2.77, 4 Mg 2.99
Mg 0.0000 0.0000 0.5721 x1  1 Li 2.62, 4 Rh 2.63
Rh 0.5000 0.5000 0.7945 x1  5 Li 2.57-2.77, 4 Mg 2.63

=====

# 5
SnMoO2F | meta-GGA SCAN | PBEsol geometry

Mass density ... 6.673 g/cm3
E ... -1.378 Ry/atom

a = 3.9153 Å, b = 3.9153 Å, c = 4.3121 Å
α = 90.00°, β = 90.00°, γ = 90.00°
With the nearest neighbours (Å) after each atom.
Space group P4/mmm (No. 123)
Asymmetric unit:
Sn 0.0000 0.0000 0.0000 x1  4 F 2.77, 8 O 2.91
Mo 0.5000 0.5000 0.5000 x1  4 O 1.96, 2 F 2.16
O 0.0000 0.5000 0.5000 x2  2 Mo 1.96
F 0.5000 0.5000 0.0000 x1  2 Mo 2.16

=====

# 6
Sc2Ir | meta-GGA SCAN | PBEsol geometry

Mass density ... 8.548 g/cm3
Formation energy from the elements ... -0.863 eV/atom

a = 3.2778 Å, b = 14.3899 Å, c = 4.6477 Å
α = 90.00°, β = 90.00°, γ = 90.00°
With the nearest neighbours (Å) after each atom.
Space group Cmcm (No. 63)
Asymmetric unit:
Sc 0.0000 0.0757 0.2500 x4  6 Ir 2.75-2.84
Sc 0.0000 0.2231 0.7500 x4  2 Ir 2.65, 4 Sc 2.95
Ir 0.0000 0.4219 0.2500 x4  8 Sc 2.65-2.84

=====

# 7
YSi2Br | meta-GGA SCAN | PBEsol geometry

Mass density ... 4.521 g/cm3
E ... -1.265 Ry/atom

a = 3.7129 Å, b = 5.2393 Å, c = 8.4950 Å
α = 90.00°, β = 90.00°, γ = 90.00°
With the nearest neighbours (Å) after each atom.
Space group Imm2 (No. 44)
Asymmetric unit:
Y 0.0000 0.0000 0.0000 x2  8 Si 2.94-3.27, 4 Br 3.10-3.16
Si 0.0000 0.0000 0.5699 x2  2 Si 2.31
Si 0.0000 0.5000 0.2310 x2  2 Si 2.31
Br 0.0000 0.5000 0.7920 x2  8 Si 3.00-3.25, 4 Y 3.10-3.16

=====

# 8
Rb2NiO2 | meta-GGA SCAN | PBEsol geometry

Mass density ... 3.965 g/cm3
E ... -1.129 Ry/atom

a = 4.1112 Å, b = 4.1112 Å, c = 12.9641 Å
α = 90.00°, β = 90.00°, γ = 90.00°
With the nearest neighbours (Å) after each atom.
Space group I4/mmm (No. 139)
Asymmetric unit:
Rb 0.0000 0.0000 0.1506 x4  5 O 2.84-2.92
Ni 0.0000 0.0000 0.5000 x2  2 O 1.69
O 0.0000 0.0000 0.3699 x4  1 Ni 1.69